# NaFe2S3 (GGA-PBE, optimized geometry)
# VASP energy ... -5.639 eV per atom
data_NaFe2S3
_chemical_formula_sum 'Na2 Fe4 S6'
_cell_length_a 7.0749
_cell_length_b 3.4155
_cell_length_c 8.6832
_cell_angle_alpha 90.00
_cell_angle_beta 111.87
_cell_angle_gamma 90.00
_space_group_name_H-M_alt 'P 1 21/m 1'
_space_group_IT_number 11
loop_
_space_group_symop_operation_xyz
'x,y,z'
'-x,-y,-z'
'-x,y+1/2,-z'
'x,-y+1/2,z'
loop_
_atom_site_label
_atom_site_type_symbol
_atom_site_fract_x
_atom_site_fract_y
_atom_site_fract_z
Na1 Na 0.2412 0.2500 0.2302
Fe1 Fe 0.1947 0.7500 0.6617
Fe2 Fe 0.4151 0.2500 0.8916
S1 S 0.0383 0.7500 0.3756
S2 S 0.2609 0.7500 0.9415
S3 S 0.4008 0.2500 0.6422

***

# Na6FeS4 (GGA-PBE, optimized geometry)
# VASP energy ... -3.900 eV per atom
data_Na6FeS4
_chemical_formula_sum 'Na12 Fe2 S8'
_cell_length_a 8.9131
_cell_length_b 8.9131
_cell_length_c 6.8877
_cell_angle_alpha 90.00
_cell_angle_beta 90.00
_cell_angle_gamma 120.00
_space_group_name_H-M_alt 'P 63 m c'
_space_group_IT_number 186
_space_group_name_Hall 'P 6c -2c'
loop_
_atom_site_label
_atom_site_type_symbol
_atom_site_fract_x
_atom_site_fract_y
_atom_site_fract_z
Na1 Na 0.0627 0.5313 0.0000
Na2 Na 0.1464 0.2928 0.6737
Fe1 Fe 0.3333 0.6667 0.3834
S1 S 0.1887 0.3775 0.2769
S2 S 0.3333 0.6667 0.7247

***

# NaFe2S3 (GGA-PBE, optimized geometry)
# VASP energy ... -5.639 eV per atom
data_NaFe2S3
_chemical_formula_sum 'Na2 Fe4 S6'
_cell_length_a 7.0751
_cell_length_b 3.4156
_cell_length_c 8.6831
_cell_angle_alpha 90.00
_cell_angle_beta 111.86
_cell_angle_gamma 90.00
_space_group_name_H-M_alt 'P 1 21/m 1'
_space_group_IT_number 11
loop_
_space_group_symop_operation_xyz
'x,y,z'
'-x,-y,-z'
'-x,y+1/2,-z'
'x,-y+1/2,z'
loop_
_atom_site_label
_atom_site_type_symbol
_atom_site_fract_x
_atom_site_fract_y
_atom_site_fract_z
Na1 Na 0.2413 0.2500 0.2302
Fe1 Fe 0.1947 0.7500 0.6617
Fe2 Fe 0.4151 0.2500 0.8916
S1 S 0.0383 0.7500 0.3756
S2 S 0.2609 0.7500 0.9415
S3 S 0.4008 0.2500 0.6422

***

# Na7Fe2S6 (GGA-PBE, optimized geometry)
# VASP energy ... -4.272 eV per atom
data_Na7Fe2S6
_chemical_formula_sum 'Na21 Fe6 S18'
_cell_length_a 7.6251
_cell_length_b 11.5764
_cell_length_c 12.5797
_cell_angle_alpha 116.60
_cell_angle_beta 101.94
_cell_angle_gamma 95.53
_space_group_name_H-M_alt 'P -1'
_space_group_IT_number 2
loop_
_space_group_symop_operation_xyz
'x,y,z'
'-x,-y,-z'
loop_
_atom_site_label
_atom_site_type_symbol
_atom_site_fract_x
_atom_site_fract_y
_atom_site_fract_z
Na1 Na 0.0000 0.0000 0.0000
Na2 Na 0.0000 0.4197 0.5880
Na3 Na 0.0125 0.0193 0.2788
Na4 Na 0.0651 0.3264 0.7964
Na5 Na 0.2733 0.3221 0.3319
Na6 Na 0.2773 0.2915 0.0236
Na7 Na 0.3667 0.8586 0.6515
Na8 Na 0.3713 0.8791 0.3511
Na9 Na 0.3789 0.6232 0.1087
Na10 Na 0.4267 0.8991 0.0547
Na11 Na 0.4981 0.4038 0.6179
Fe1 Fe 0.0866 0.6588 0.8897
Fe2 Fe 0.1820 0.0798 0.5627
Fe3 Fe 0.3391 0.6857 0.7701
S1 S 0.0898 0.8475 0.4585
S2 S 0.0993 0.7948 0.7973
S3 S 0.1125 0.7959 0.0950
S4 S 0.1738 0.5017 0.2073
S5 S 0.3025 0.5644 0.5634
S6 S 0.3310 0.1477 0.7667
S7 S 0.3377 0.5505 0.8632
S8 S 0.3521 0.1438 0.4626
S9 S 0.3995 0.1535 0.1374

***

# NaScFeS3 (GGA-PBE, optimized geometry)
# Energy relative to the lowest polymorph listed for this composition ... 0.027 eV/atom
# VASP energy ... -5.917 eV per atom
data_NaScFeS3
_chemical_formula_sum 'Na4 Sc4 Fe4 S12'
_cell_length_a 3.7527
_cell_length_b 12.9066
_cell_length_c 9.8822
_cell_angle_alpha 90.00
_cell_angle_beta 90.00
_cell_angle_gamma 90.00
_space_group_name_H-M_alt 'C m c m'
_space_group_IT_number 63
_space_group_name_Hall '-C 2c 2'
loop_
_atom_site_label
_atom_site_type_symbol
_atom_site_fract_x
_atom_site_fract_y
_atom_site_fract_z
Na1 Na 0.0000 0.2465 0.2500
Sc1 Sc 0.0000 0.0000 0.0000
Fe1 Fe 0.0000 0.4718 0.7500
S1 S 0.0000 0.0773 0.7500
S2 S 0.0000 0.3702 0.5642

***

# NaScFeS3 (GGA-PBE, optimized geometry)
# Energy relative to the lowest polymorph listed for this composition ... 0.104 eV/atom
# VASP energy ... -5.839 eV per atom
data_NaScFeS3
_chemical_formula_sum 'Na4 Sc4 Fe4 S12'
_cell_length_a 16.1366
_cell_length_b 3.7105
_cell_length_c 7.8647
_cell_angle_alpha 90.00
_cell_angle_beta 103.65
_cell_angle_gamma 90.00
_space_group_name_H-M_alt 'C 1 2/m 1'
_space_group_IT_number 12
loop_
_space_group_symop_operation_xyz
'x,y,z'
'-x,-y,-z'
'-x,y,-z'
'x,-y,z'
'x+1/2,y+1/2,z'
'-x+1/2,-y+1/2,-z'
'-x+1/2,y+1/2,-z'
'x+1/2,-y+1/2,z'
loop_
_atom_site_label
_atom_site_type_symbol
_atom_site_fract_x
_atom_site_fract_y
_atom_site_fract_z
Na1 Na 0.1424 0.0000 0.0701
Sc1 Sc 0.1716 0.0000 0.5863
Fe1 Fe 0.0129 0.5000 0.7187
S1 S 0.0000 0.0000 0.5000
S2 S 0.0000 0.5000 0.0000
S3 S 0.1655 0.5000 0.3578
S4 S 0.1663 0.5000 0.8040

***

# NaScFeS3 (GGA-PBE, optimized geometry)
# Energy relative to the lowest polymorph listed for this composition ... 0.000 eV/atom
# VASP energy ... -5.944 eV per atom
data_NaScFeS3
_chemical_formula_sum 'Na2 Sc2 Fe2 S6'
_cell_length_a 7.7591
_cell_length_b 3.7104
_cell_length_c 8.9403
_cell_angle_alpha 90.00
_cell_angle_beta 105.76
_cell_angle_gamma 90.00
_space_group_name_H-M_alt 'P 1 21/m 1'
_space_group_IT_number 11
loop_
_space_group_symop_operation_xyz
'x,y,z'
'-x,-y,-z'
'-x,y+1/2,-z'
'x,-y+1/2,z'
loop_
_atom_site_label
_atom_site_type_symbol
_atom_site_fract_x
_atom_site_fract_y
_atom_site_fract_z
Na1 Na 0.2107 0.2500 0.2369
Sc1 Sc 0.3307 0.7500 0.8569
Fe1 Fe 0.0754 0.2500 0.5945
S1 S 0.0949 0.2500 0.8522
S2 S 0.2293 0.7500 0.5393
S3 S 0.4438 0.7500 0.1529

***

# NaScFeS3 (GGA-PBE, optimized geometry)
# Energy relative to the lowest polymorph listed for this composition ... 0.026 eV/atom
# VASP energy ... -5.918 eV per atom
data_NaScFeS3
_chemical_formula_sum 'Na4 Sc4 Fe4 S12'
_cell_length_a 9.9201
_cell_length_b 3.7479
_cell_length_c 12.9093
_cell_angle_alpha 90.00
_cell_angle_beta 90.00
_cell_angle_gamma 90.00
_space_group_name_H-M_alt 'P n m a'
_space_group_IT_number 62
loop_
_space_group_symop_operation_xyz
'x,y,z'
'-x,-y,-z'
'-x+1/2,-y,z+1/2'
'x+1/2,y,-z+1/2'
'x+1/2,-y+1/2,-z+1/2'
'-x+1/2,y+1/2,z+1/2'
'-x,y+1/2,-z'
'x,-y+1/2,z'
loop_
_atom_site_label
_atom_site_type_symbol
_atom_site_fract_x
_atom_site_fract_y
_atom_site_fract_z
Na1 Na 0.2206 0.2500 0.0008
Sc1 Sc 0.0186 0.7500 0.7443
Fe1 Fe 0.2319 0.7500 0.2207
S1 S 0.0426 0.7500 0.1242
S2 S 0.0858 0.2500 0.6165
S3 S 0.2332 0.2500 0.3257